Record 1
Compound: LaFeTe2I
Source: the Alexandria database
Functional: PBE
Structure: optimized geometry

Lattice parameters (Å, degrees): 5.2883 5.2883 5.2215 90.00 90.00 90.00
With the nearest neighbours (Å) after each atom.
Positions (direct):
I (0.0000, 0.0000, 0.5000)  2 Fe 2.61
Te (0.0000, 0.5000, 0.0000)  2 Fe 2.64
Te (0.5000, 0.0000, 0.0000)  2 Fe 2.64
Fe (0.0000, 0.0000, 0.0000)  2 I 2.61, 4 Te 2.64
La (0.5000, 0.5000, 0.5000)  8 Te 3.72, 4 I 3.74

The value obtained for the theoretical density is 6.6 Mg/m³. For the calculated total energy, the calculation gives -4.6528 eV per atom. The uncorrected formation energy is -2.04 eV per formula unit.

=====

Record 2
Compound: EuDyCd
Source: the Alexandria database
Functional: PBE
Structure: optimized geometry

Lattice parameters (Å, degrees): 3.7845 3.7845 7.0685 105.53 105.53 90.00
With the nearest neighbours (Å) after each atom.
Positions (direct):
Eu (0.0149, 0.0149, 0.0298)  4 Cd 3.41, 4 Eu 3.78, 4 Dy 3.80
Cd (0.6768, 0.6768, 0.3535)  4 Dy 3.18, 4 Eu 3.41
Dy (0.3084, 0.3084, 0.6167)  4 Cd 3.18

The value obtained for the theoretical density is 7.6 Mg/m³. The calculation puts the distance to the lowest polymorph of the same formula at 0.000 eV per atom. As for the energy of formation: -0.1637 eV/atom. For the calculated total energy, the calculation gives -5.4275 eV per atom.

=====

Record 3
Compound: La4SnBiC
Source: the Alexandria database
Functional: PBE
Structure: optimized geometry

Lattice parameters (Å, degrees): 7.2031 7.1921 9.3128 90.00 112.75 90.00
With the nearest neighbours (Å) after each atom.
Positions (direct):
La (0.9190, 0.2500, 0.8379)  1 C 3.23, 1 Sn 3.29
La (0.4103, 0.7500, 0.8206)  1 C 2.43
La (0.0810, 0.7500, 0.1621)  1 C 3.23, 1 Sn 3.29
La (0.5897, 0.2500, 0.1794)  1 C 2.43
La (0.5000, 0.5000, 0.5000)  2 C 2.57
La (0.0000, 0.0000, 0.5000)  2 C 2.57
La (0.5000, 0.0000, 0.5000)  2 C 2.57
La (0.0000, 0.5000, 0.5000)  2 C 2.57
Sn (0.1104, 0.2500, 0.2208)  9 La 3.29-3.63
Sn (0.8896, 0.7500, 0.7792)  9 La 3.29-3.63
Bi (0.6096, 0.7500, 0.2192)  9 La 3.42-3.63
Bi (0.3904, 0.2500, 0.7808)  9 La 3.42-3.63
C (0.2690, 0.7500, 0.5380)  5 La 2.43-2.57
C (0.7310, 0.2500, 0.4620)  5 La 2.43-2.57

The value obtained for the theoretical density is 6.7 Mg/m³. As for the energy of formation: -0.6096 eV/atom. For the calculated total energy, the calculation gives -5.8693 eV per atom.